The following is a PBE calculation of an optimized crystal structure of PmPr2Tm3, from Alexandria via LeMat-Bulk. Values from VASP.

Output
The calculation puts the density of states at the Fermi level at 19.27 states/eV per cell. The value obtained for the excess energy over the best structure of this formula in the dataset is 0.000 eV per atom. Its formation energy is 0.1210 eV/atom. As for the space group: C2/m (12).

The structure in Quantum ESPRESSO input format:
```
&SYSTEM
  ibrav = 0, nat = 12, ntyp = 3
/
ATOMIC_SPECIES
Tm 168.93 Tm.upf
Pr 140.91 Pr.upf
Pm 145.00 Pm.upf
CELL_PARAMETERS angstrom
3.514 0.000 0.000
1.757 8.953 0.131
1.757 2.197 12.717
ATOMIC_POSITIONS crystal
Tm 0.402 0.170 0.026
Tm 0.960 0.875 0.205
Tm 0.264 0.180 0.292
Tm 0.040 0.125 0.795
Tm 0.598 0.830 0.974
Tm 0.736 0.820 0.708
Pr 0.655 0.157 0.533
Pr 0.819 0.481 0.880
Pr 0.181 0.519 0.120
Pr 0.345 0.843 0.467
Pm 0.437 0.482 0.643
Pm 0.563 0.518 0.357
```